A plane-wave DFT calculation with PBE-GGA was carried out for crystalline LiTbAsO at its relaxed geometry.

Cell lengths 5.7463, 5.7463, 4.6064 Å; angles 90.00, 90.00, 90.00 degrees
With the nearest neighbours (Å) after each atom.
Space group P4/nmm (No. 129, origin choice 2)
Unique sites:
Li 0.2500 0.2500 0.0008  2 As 2.30
Tb 0.2500 0.7500 0.5000  2 O 2.30
As 0.2500 0.2500 0.5009  2 Li 2.30
O 0.2500 0.7500 0.0000  2 Tb 2.30

Summary:
- Energy above the most stable polymorph in this dataset: 527 meV/atom
- M_tot: 0.03 μB/cell


A plane-wave DFT calculation with PBE-GGA was carried out for crystalline NbCdCoSn at its relaxed geometry.

Cell lengths 6.5565, 6.5565, 6.5565 Å; angles 90.00, 90.00, 90.00 degrees
With the nearest neighbours (Å) after each atom.
Space group F-43m (No. 216)
Unique sites:
Nb 0.0000 0.0000 0.0000  4 Cd 2.84, 4 Sn 2.84
Cd 0.2500 0.2500 0.7500  4 Nb 2.84, 4 Co 2.84
Co 0.0000 0.0000 0.5000  4 Sn 2.84, 4 Cd 2.84
Sn 0.2500 0.2500 0.2500  4 Nb 2.84, 4 Co 2.84

Summary:
- Energy above the most stable polymorph in this dataset: 0 meV/atom
- M_tot: 0.90 μB/cell


A plane-wave DFT calculation with PBE-GGA was carried out for crystalline La4PtS7 at its relaxed geometry.

Cell lengths 15.5154, 4.7051, 10.8742 Å; angles 90.00, 131.50, 90.00 degrees
With the nearest neighbours (Å) after each atom.
Space group C2/m (No. 12)
Unique sites:
La 0.0873 0.0000 0.2797  5 S 2.83-2.98
La 0.2270 0.0000 0.8295  4 S 2.74-2.92
Pt 0.0000 0.5000 0.5000  4 S 2.35-2.37
S 0.0000 0.0000 0.5000  2 Pt 2.35
S 0.0723 0.5000 0.7719  1 Pt 2.37
S 0.1351 0.0000 0.0560  4 La 2.85-2.98
S 0.2174 0.5000 0.3629  4 La 2.74-2.95

Summary:
- M_tot: 0.01 μB/cell


no.,energy (eV/atom)
1,-5.38
2,-5.15
3,-6.36